w:
{"formula": "Rb2SrSnI6", "functional": "PBE", "state": "optimized geometry", "dos_ef_per_ev_fu": 0.00, "vol_a3_per_atom": 47.7, "space_group": "P2_1/c, No. 14", "cell": [[8.541, 0.000, 0.000], [0.000, 9.042, 0.000], [-8.444, 0.000, 12.357]], "species": ["Rb", "Rb", "Rb", "Rb", "Sr", "Sr", "Sn", "Sn", "I", "I", "I", "I", "I", "I", "I", "I", "I", "I", "I", "I"], "frac_coords": [[0.217, 0.084, 0.248], [0.217, 0.416, 0.748], [0.783, 0.584, 0.252], [0.783, 0.916, 0.752], [0.500, 0.000, 0.000], [0.500, 0.500, 0.500], [0.000, 0.000, 0.500], [0.000, 0.500, 0.000], [0.131, 0.200, 0.944], [0.131, 0.300, 0.444], [0.250, 0.693, 0.944], [0.250, 0.807, 0.444], [0.359, 0.029, 0.746], [0.359, 0.471, 0.246], [0.641, 0.529, 0.754], [0.641, 0.971, 0.254], [0.750, 0.193, 0.556], [0.750, 0.307, 0.056], [0.869, 0.700, 0.556], [0.869, 0.800, 0.056]]}



x:
{"formula": "Rb2SrSnI6", "functional": "PBE", "state": "optimized geometry", "dos_ef_per_ev_fu": 0.00, "vol_a3_per_atom": 51.8, "space_group": "Fm-3m, No. 225", "cell": [[0.000, 6.376, 6.376], [6.376, 0.000, 6.376], [6.376, 6.376, 0.000]], "species": ["Rb", "Rb", "Sr", "Sn", "I", "I", "I", "I", "I", "I"], "frac_coords": [[0.250, 0.250, 0.250], [0.750, 0.750, 0.750], [0.000, 0.000, 0.000], [0.500, 0.500, 0.500], [0.253, 0.253, 0.747], [0.253, 0.747, 0.253], [0.253, 0.747, 0.747], [0.747, 0.253, 0.253], [0.747, 0.253, 0.747], [0.747, 0.747, 0.253]]}



Relative energy of each structure, in kJ/mol of atoms: w 0.0; x 5.6.